PrDy9Ho2, relaxed, DFT PBE; energy = -4.576 eV/atom; space-group type = P6/mmm (191); N(E_F) = 15.72 states/eV per cell; relative energy among the computed polymorphs = 15 meV/atom; density = 8.37 Mg/m³
1.0
-3.328 1.058 0.365
0.910 -0.982 11.151
2.542 9.727 -5.006
Pr Dy Ho
1 9 2
Direct
0.000 0.000 0.000 Pr
0.000 0.000 0.500 Dy
0.000 0.500 0.500 Dy
0.000 0.500 0.000 Dy
0.500 0.357 0.178 Dy
0.500 0.178 0.822 Dy
0.500 0.178 0.357 Dy
0.500 0.822 0.643 Dy
0.500 0.822 0.178 Dy
0.500 0.643 0.822 Dy
0.000 0.333 0.667 Ho
0.000 0.667 0.333 Ho